VASP calculation (GGA+U) on a relaxed MoOs3F crystal.

```
data_MoOs3F
_chemical_formula_sum 'Mo1 Os3 F1'
_cell_length_a 4.7651
_cell_length_b 4.7651
_cell_length_c 4.7651
_cell_angle_alpha 90.00
_cell_angle_beta 90.00
_cell_angle_gamma 90.00
_symmetry_space_group_name_H-M 'P m -3 m'
_symmetry_Int_Tables_number 221
_symmetry_space_group_name_Hall '-P 4 2 3'
loop_
_atom_site_label
_atom_site_fract_x
_atom_site_fract_y
_atom_site_fract_z
_atom_site_occupancy
Mo1 0.0000 0.0000 0.0000 1
Os1 0.0000 0.0000 0.5000 1
F1 0.5000 0.5000 0.5000 1
```

Summary:
crystal system	cubic
E	-5.912	eV/atom
DOS(E_F)	3.5	states/eV/f.u.
energy above the most stable polymorph in this dataset	5.00	eV/f.u.